The following is a GGA-PBEsol calculation of a geometry-optimized MoRh3 structure, from Alexandria via LeMat-Bulk.

Cell and atoms, written as CIF:
```
data_MoRh3
_chemical_formula_sum 'Mo1 Rh3'
_space_group_name_H-M_alt 'P 1'
_space_group_IT_number 1
_cell_length_a 3.8066
_cell_length_b 3.8066
_cell_length_c 3.8066
_cell_angle_alpha 90.00
_cell_angle_beta 90.00
_cell_angle_gamma 90.00
loop_
_space_group_symop_operation_xyz
'x,y,z'
loop_
_atom_site_label
_atom_site_fract_x
_atom_site_fract_y
_atom_site_fract_z
_atom_site_occupancy
Rh1 0.5000 0.5000 0.0000 1
Rh2 0.0000 0.5000 0.5000 1
Rh3 0.5000 0.0000 0.5000 1
Mo1 0.0000 0.0000 0.0000 1
```

Calculated values
Space-group type: No. 221
Final energy (eV/atom): -9.25
Spin magnetization (μB per formula unit): 0.00
DOS at the Fermi energy (states/eV/f.u.): 3.39

=====

The following is a GGA-PBEsol calculation of a geometry-optimized Mo3Rh5 structure, from Alexandria via LeMat-Bulk.

Cell and atoms, written as CIF:
```
data_Mo3Rh5
_chemical_formula_sum 'Mo3 Rh5'
_space_group_name_H-M_alt 'P 1'
_space_group_IT_number 1
_cell_length_a 3.8168
_cell_length_b 5.4214
_cell_length_c 5.4214
_cell_angle_alpha 90.48
_cell_angle_beta 90.00
_cell_angle_gamma 90.00
loop_
_space_group_symop_operation_xyz
'x,y,z'
loop_
_atom_site_label
_atom_site_fract_x
_atom_site_fract_y
_atom_site_fract_z
_atom_site_occupancy
Mo1 0.5000 0.7508 0.7508 1
Mo2 0.5000 0.2492 0.2492 1
Mo3 0.0000 0.5000 0.5000 1
Rh1 0.5000 0.7475 0.2525 1
Rh2 0.0000 0.5000 0.0000 1
Rh3 0.5000 0.2525 0.7475 1
Rh4 0.0000 0.0000 0.0000 1
Rh5 0.0000 0.0000 0.5000 1
```

Calculated values
Space-group type: No. 65
Final energy (eV/atom): -9.68
Spin magnetization (μB per formula unit): 0.00
DOS at the Fermi energy (states/eV/f.u.): 6.36

=====

The following is a GGA-PBEsol calculation of a geometry-optimized Mo3Rh structure, from Alexandria via LeMat-Bulk.

Cell and atoms, written as CIF:
```
data_Mo3Rh
_chemical_formula_sum 'Mo3 Rh1'
_space_group_name_H-M_alt 'P 1'
_space_group_IT_number 1
_cell_length_a 3.8974
_cell_length_b 3.8974
_cell_length_c 3.8974
_cell_angle_alpha 90.00
_cell_angle_beta 90.00
_cell_angle_gamma 90.00
loop_
_space_group_symop_operation_xyz
'x,y,z'
loop_
_atom_site_label
_atom_site_fract_x
_atom_site_fract_y
_atom_site_fract_z
_atom_site_occupancy
Mo1 0.5000 0.0000 0.0000 1
Mo2 0.0000 0.0000 0.5000 1
Mo3 0.0000 0.5000 0.0000 1
Rh1 0.5000 0.5000 0.5000 1
```

Calculated values
Space-group type: No. 221
Final energy (eV/atom): -10.79
Spin magnetization (μB per formula unit): 0.00
DOS at the Fermi energy (states/eV/f.u.): 4.39

=====

The following is a GGA-PBEsol calculation of a geometry-optimized MoRh5 structure, from Alexandria via LeMat-Bulk.

Cell and atoms, written as CIF:
```
data_MoRh5
_chemical_formula_sum 'Mo1 Rh5'
_space_group_name_H-M_alt 'P 1'
_space_group_IT_number 1
_cell_length_a 2.7109
_cell_length_b 4.3131
_cell_length_c 7.1574
_cell_angle_alpha 90.00
_cell_angle_beta 100.92
_cell_angle_gamma 90.00
loop_
_space_group_symop_operation_xyz
'x,y,z'
loop_
_atom_site_label
_atom_site_fract_x
_atom_site_fract_y
_atom_site_fract_z
_atom_site_occupancy
Rh1 0.5559 0.5000 0.1119 1
Rh2 0.8884 0.5000 0.7768 1
Rh3 0.3356 0.0000 0.6711 1
Rh4 0.6657 0.0000 0.3314 1
Rh5 0.2226 0.5000 0.4452 1
Mo1 0.9985 0.0000 0.9969 1
```

Calculated values
Space-group type: No. 38
Final energy (eV/atom): -8.89
Energy above the lowest structure with this stoichiometry (meV/atom): 32
Spin magnetization (μB per formula unit): 0.00
DOS at the Fermi energy (states/eV/f.u.): 6.01

=====

The following is a GGA-PBEsol calculation of a geometry-optimized MoRh structure, from Alexandria via LeMat-Bulk.

Cell and atoms, written as CIF:
```
data_MoRh
_chemical_formula_sum 'Mo1 Rh1'
_space_group_name_H-M_alt 'P 1'
_space_group_IT_number 1
_cell_length_a 2.7118
_cell_length_b 2.7118
_cell_length_c 3.8639
_cell_angle_alpha 90.00
_cell_angle_beta 90.00
_cell_angle_gamma 90.00
loop_
_space_group_symop_operation_xyz
'x,y,z'
loop_
_atom_site_label
_atom_site_fract_x
_atom_site_fract_y
_atom_site_fract_z
_atom_site_occupancy
Rh1 0.5000 0.5000 0.5000 1
Mo1 0.0000 0.0000 0.0000 1
```

Calculated values
Space-group type: No. 123
Final energy (eV/atom): -10.15
Spin magnetization (μB per formula unit): 0.00
DOS at the Fermi energy (states/eV/f.u.): 1.33

=====

The following is a GGA-PBEsol calculation of a geometry-optimized MoRh5 structure, from Alexandria via LeMat-Bulk.

Cell and atoms, written as CIF:
```
data_MoRh5
_chemical_formula_sum 'Mo1 Rh5'
_space_group_name_H-M_alt 'P 1'
_space_group_IT_number 1
_cell_length_a 2.7064
_cell_length_b 5.1174
_cell_length_c 6.3569
_cell_angle_alpha 103.67
_cell_angle_beta 90.00
_cell_angle_gamma 105.33
loop_
_space_group_symop_operation_xyz
'x,y,z'
loop_
_atom_site_label
_atom_site_fract_x
_atom_site_fract_y
_atom_site_fract_z
_atom_site_occupancy
Rh1 0.3361 0.6722 0.6731 1
Rh2 0.7209 0.4419 0.9450 1
Rh3 0.0544 0.1088 0.6114 1
Rh4 0.6645 0.3290 0.3295 1
Rh5 0.3904 0.7808 0.2756 1
Mo1 0.0003 0.0006 0.9987 1
```

Calculated values
Space-group type: No. 8
Final energy (eV/atom): -8.87
Energy above the lowest structure with this stoichiometry (meV/atom): 47
Spin magnetization (μB per formula unit): 0.00
DOS at the Fermi energy (states/eV/f.u.): 6.34

=====

The following is a GGA-PBEsol calculation of a geometry-optimized MoRh3 structure, from Alexandria via LeMat-Bulk.

Cell and atoms, written as CIF:
```
data_MoRh3
_chemical_formula_sum 'Mo4 Rh12'
_space_group_name_H-M_alt 'P 1'
_space_group_IT_number 1
_cell_length_a 5.3934
_cell_length_b 5.3934
_cell_length_c 8.7462
_cell_angle_alpha 90.00
_cell_angle_beta 90.00
_cell_angle_gamma 120.00
loop_
_space_group_symop_operation_xyz
'x,y,z'
loop_
_atom_site_label
_atom_site_fract_x
_atom_site_fract_y
_atom_site_fract_z
_atom_site_occupancy
Rh1 0.8314 0.1686 0.2500 1
Rh2 0.5000 0.0000 0.0000 1
Rh3 0.0000 0.5000 0.0000 1
Rh4 0.3372 0.1686 0.2500 1
Rh5 0.5000 0.5000 0.0000 1
Rh6 0.6628 0.8314 0.7500 1
Rh7 0.5000 0.0000 0.5000 1
Rh8 0.1686 0.3372 0.7500 1
Rh9 0.0000 0.5000 0.5000 1
Rh10 0.8314 0.6628 0.2500 1
Rh11 0.5000 0.5000 0.5000 1
Rh12 0.1686 0.8314 0.7500 1
Mo1 0.6667 0.3333 0.7500 1
Mo2 0.3333 0.6667 0.2500 1
Mo3 0.0000 0.0000 0.0000 1
Mo4 0.0000 0.0000 0.5000 1
```

Calculated values
Space-group type: No. 194
Final energy (eV/atom): -9.28
Spin magnetization (μB per formula unit): 0.00
DOS at the Fermi energy (states/eV/f.u.): 3.11

=====

The following is a GGA-PBEsol calculation of a geometry-optimized Mo2Rh structure, from Alexandria via LeMat-Bulk.

Cell and atoms, written as CIF:
```
data_Mo2Rh
_chemical_formula_sum 'Mo2 Rh1'
_space_group_name_H-M_alt 'P 1'
_space_group_IT_number 1
_cell_length_a 2.6849
_cell_length_b 2.6849
_cell_length_c 6.3901
_cell_angle_alpha 102.13
_cell_angle_beta 102.13
_cell_angle_gamma 90.00
loop_
_space_group_symop_operation_xyz
'x,y,z'
loop_
_atom_site_label
_atom_site_fract_x
_atom_site_fract_y
_atom_site_fract_z
_atom_site_occupancy
Rh1 0.0000 0.0000 0.0000 1
Mo1 0.3412 0.3412 0.6825 1
Mo2 0.6588 0.6588 0.3175 1
```

Calculated values
Space-group type: No. 139
Final energy (eV/atom): -10.61
Spin magnetization (μB per formula unit): 0.00
DOS at the Fermi energy (states/eV/f.u.): 1.85

=====

The following is a GGA-PBEsol calculation of a geometry-optimized MoRh5 structure, from Alexandria via LeMat-Bulk.

Cell and atoms, written as CIF:
```
data_MoRh5
_chemical_formula_sum 'Mo1 Rh5'
_space_group_name_H-M_alt 'P 1'
_space_group_IT_number 1
_cell_length_a 3.8015
_cell_length_b 3.8162
_cell_length_c 5.9761
_cell_angle_alpha 90.00
_cell_angle_beta 108.55
_cell_angle_gamma 90.00
loop_
_space_group_symop_operation_xyz
'x,y,z'
loop_
_atom_site_label
_atom_site_fract_x
_atom_site_fract_y
_atom_site_fract_z
_atom_site_occupancy
Rh1 0.3341 0.5000 0.6682 1
Rh2 0.0000 0.5000 0.0000 1
Rh3 0.1610 0.0000 0.3219 1
Rh4 0.8390 0.0000 0.6781 1
Rh5 0.6659 0.5000 0.3318 1
Mo1 0.5000 0.0000 0.0000 1
```

Calculated values
Space-group type: No. 65
Final energy (eV/atom): -8.92
Energy above the lowest structure with this stoichiometry (meV/atom): 0
Spin magnetization (μB per formula unit): 0.00
DOS at the Fermi energy (states/eV/f.u.): 4.87

=====

The following is a GGA-PBEsol calculation of a geometry-optimized Mo5Rh3 structure, from Alexandria via LeMat-Bulk.

Cell and atoms, written as CIF:
```
data_Mo5Rh3
_chemical_formula_sum 'Mo5 Rh3'
_space_group_name_H-M_alt 'P 1'
_space_group_IT_number 1
_cell_length_a 3.8571
_cell_length_b 5.4890
_cell_length_c 5.4890
_cell_angle_alpha 90.43
_cell_angle_beta 90.00
_cell_angle_gamma 90.00
loop_
_space_group_symop_operation_xyz
'x,y,z'
loop_
_atom_site_label
_atom_site_fract_x
_atom_site_fract_y
_atom_site_fract_z
_atom_site_occupancy
Mo1 0.0000 0.0000 0.0000 1
Mo2 0.0000 0.5000 0.0000 1
Mo3 0.5000 0.2545 0.7455 1
Mo4 0.5000 0.7455 0.2545 1
Mo5 0.0000 0.0000 0.5000 1
Rh1 0.5000 0.7474 0.7474 1
Rh2 0.5000 0.2526 0.2526 1
Rh3 0.0000 0.5000 0.5000 1
```

Calculated values
Space-group type: No. 65
Final energy (eV/atom): -10.46
Spin magnetization (μB per formula unit): 0.00
DOS at the Fermi energy (states/eV/f.u.): 6.74

=====

The following is a GGA-PBEsol calculation of a geometry-optimized Mo2Rh structure, from Alexandria via LeMat-Bulk.

Cell and atoms, written as CIF:
```
data_Mo2Rh
_chemical_formula_sum 'Mo2 Rh1'
_space_group_name_H-M_alt 'P 1'
_space_group_IT_number 1
_cell_length_a 2.6575
_cell_length_b 4.4393
_cell_length_c 4.4393
_cell_angle_alpha 90.00
_cell_angle_beta 90.00
_cell_angle_gamma 90.00
loop_
_space_group_symop_operation_xyz
'x,y,z'
loop_
_atom_site_label
_atom_site_fract_x
_atom_site_fract_y
_atom_site_fract_z
_atom_site_occupancy
Mo1 0.5000 0.0000 0.5000 1
Mo2 0.5000 0.5000 0.0000 1
Rh1 0.0000 0.0000 0.0000 1
```

Calculated values
Space-group type: No. 123
Final energy (eV/atom): -9.63
Spin magnetization (μB per formula unit): 0.00
DOS at the Fermi energy (states/eV/f.u.): 3.38

=====

The following is a GGA-PBEsol calculation of a geometry-optimized MoRh structure, from Alexandria via LeMat-Bulk.

Cell and atoms, written as CIF:
```
data_MoRh
_chemical_formula_sum 'Mo1 Rh1'
_space_group_name_H-M_alt 'P 1'
_space_group_IT_number 1
_cell_length_a 2.7362
_cell_length_b 2.7362
_cell_length_c 4.3934
_cell_angle_alpha 90.00
_cell_angle_beta 90.00
_cell_angle_gamma 120.00
loop_
_space_group_symop_operation_xyz
'x,y,z'
loop_
_atom_site_label
_atom_site_fract_x
_atom_site_fract_y
_atom_site_fract_z
_atom_site_occupancy
Mo1 0.0000 0.0000 0.5000 1
Rh1 0.6667 0.3333 0.0000 1
```

Calculated values
Space-group type: No. 187
Final energy (eV/atom): -10.07
Spin magnetization (μB per formula unit): 0.00
DOS at the Fermi energy (states/eV/f.u.): 1.99

=====

What is the DOS at the Fermi energy in the seventh record?
3.11 states/eV/f.u.